18
Lattice="-6.167 -0.453 7.035 -9.191 -1.407 -1.128 -4.495 -7.802 2.577" Properties=species:S:1:pos:R:3 comment="GGA-PBE Ac2DyAl3Hg12, relaxed" formation_enthalpy_0k_kj_per_mol_atoms=-1 pbc="T T T"
Ac -11.769 -5.728 5.030
Ac -8.083 -3.934 3.455
Dy 0.000 0.000 0.000
Al -3.083 -0.226 3.517
Al -4.595 -0.703 -0.564
Al -2.247 -3.901 1.289
Hg -7.517 -7.101 3.615
Hg -14.818 -5.101 6.086
Hg -14.189 -7.864 4.411
Hg -8.542 -2.595 6.348
Hg -13.053 -7.505 7.479
Hg -10.396 -3.180 1.344
Hg -12.335 -2.561 4.870
Hg -5.035 -4.560 2.398
Hg -5.663 -1.798 4.074
Hg -11.310 -7.067 2.137
Hg -6.800 -2.157 1.006
Hg -9.456 -6.482 7.141